DFT (PBE-GGA) results for Ac4HoZn3O12 after structural relaxation.

Properties
- E_tot (eV per cell) = -131.950
- calculated volume (Å³ per cell) = 272
- ΔE_f (raw) (eV per atom) = -2.381

Cell and atoms, written as POSCAR:
```
Ac4HoZn3O12
1.0
7.066 0.000 0.000
-2.355 6.662 0.000
-2.355 -3.331 5.770
O Ac Ho Zn
12 4 1 3
direct
0.500 0.250 0.750 O
0.739 0.739 0.000 O
0.500 0.750 0.250 O
0.739 0.000 0.739 O
0.750 0.250 0.500 O
0.750 0.500 0.250 O
0.000 0.261 0.261 O
0.250 0.750 0.500 O
0.250 0.500 0.750 O
0.000 0.739 0.739 O
0.261 0.261 0.000 O
0.261 0.000 0.261 O
0.000 0.000 0.500 Ac
0.500 0.500 0.500 Ac
0.000 0.500 0.000 Ac
0.500 0.000 0.000 Ac
0.000 0.000 0.000 Ho
0.500 0.500 0.000 Zn
0.000 0.500 0.500 Zn
0.500 0.000 0.500 Zn
```

DFT (PBE-GGA) results for AcHo3Os after structural relaxation.

Properties
- E_tot (eV per cell) = -29.339
- calculated volume (Å³ per cell) = 164

Cell and atoms, written as POSCAR:
```
AcHo3Os
1.0
5.479 0.000 0.000
0.000 5.479 0.000
0.000 0.000 5.479
Os Ho Ac
1 3 1
direct
0.000 0.000 0.000 Os
0.000 0.500 0.000 Ho
0.500 0.000 0.000 Ho
0.000 0.000 0.500 Ho
0.500 0.500 0.500 Ac
```

DFT (PBE-GGA) results for Ac3HoP4 after structural relaxation.

Properties
- E_tot (eV per cell) = -100.293
- calculated volume (Å³ per cell) = 463

Cell and atoms, written as POSCAR:
```
Ac3HoP4
1.0
7.517 0.063 0.000
-2.576 7.063 0.000
0.000 0.000 8.693
Ac P Ho
6 8 2
direct
0.750 0.500 0.629 Ac
0.250 0.000 0.628 Ac
0.250 0.500 0.371 Ac
0.750 0.000 0.372 Ac
0.750 0.500 0.123 Ac
0.250 0.500 0.877 Ac
0.998 0.768 0.884 P
0.490 0.243 0.366 P
0.498 0.768 0.116 P
0.002 0.232 0.116 P
0.502 0.232 0.884 P
0.510 0.757 0.634 P
0.990 0.243 0.634 P
0.010 0.757 0.366 P
0.250 0.000 0.121 Ho
0.750 0.000 0.879 Ho
```

DFT (PBE-GGA) results for AcHoP2 after structural relaxation.

Properties
- E_tot (eV per cell) = -21.500
- calculated volume (Å³ per cell) = 131

Cell and atoms, written as POSCAR:
```
AcHoP2
1.0
4.254 0.000 0.000
2.127 3.684 0.000
2.127 1.228 8.338
Ac P Ho
1 2 1
direct
0.000 0.000 0.000 Ac
0.114 0.114 0.659 P
0.886 0.886 0.341 P
0.500 0.500 0.500 Ho
```

Number 1: DOS at the Fermi energy 6.475 states/eV per cell. Number 2: DOS at the Fermi energy 6.689 states/eV per cell. Number 3: DOS at the Fermi energy 2.009 states/eV per cell. Number 4: DOS at the Fermi energy 5.303 states/eV per cell.